Here is a relaxed Li5CuPd3 crystal from Alexandria via LeMat-Bulk. Energies are from GGA-PBE.

abc: 7.518 7.518 8.822
angles: 54.33 54.33 74.58
Sites, in units of the cell vectors:
Pd 0.000 0.000 0.500
Li 0.087 0.606 0.563
Li 0.606 0.087 0.563
Pd 0.669 0.669 0.820
Cu 0.835 0.835 0.408
Li 0.913 0.394 0.437
Li 0.506 0.506 0.743
Pd 0.331 0.331 0.180
Li 0.262 0.738 0.000
Pd 0.000 0.000 0.000
Li 0.840 0.840 0.907
Li 0.394 0.913 0.437
Li 0.160 0.160 0.093
Pd 0.667 0.667 0.333
Pd 0.333 0.333 0.667
Cu 0.165 0.165 0.592
Li 0.738 0.262 0.000
Li 0.494 0.494 0.257

Values from the calculation:
For the formation energy, the calculation gives -193 meV per atom. Its symmetry is C2/m (12). The value obtained for the volume is 327.03 Å³/cell. The value obtained for the magnetic moment is 0.00 μB per cell. For the total energy, the calculation gives -0.2530 Ry per atom.

***

Here is a relaxed Hf5Th3H12 crystal from Alexandria via LeMat-Bulk. Energies are from GGA-PBE.

abc: 10.870 10.870 10.870
angles: 109.47 109.47 109.47
Sites, in units of the cell vectors:
H 0.084 0.163 0.452
Th 0.750 0.875 0.625
H 0.712 0.579 0.163
H 0.421 0.132 0.584
H 0.212 0.548 0.632
H 0.337 0.548 0.416
H 0.212 0.663 0.079
H 0.952 0.584 0.163
H 0.837 0.916 0.048
Hf 0.500 0.500 0.500
Hf 0.125 0.375 0.250
Hf 0.625 0.750 0.875
H 0.868 0.288 0.452
H 0.548 0.337 0.916
H 0.368 0.952 0.788
Hf 0.375 0.125 0.750
Th 0.750 0.375 0.125
H 0.452 0.663 0.084
H 0.663 0.212 0.579
H 0.663 0.452 0.584
Hf 0.500 0.000 0.000
H 0.163 0.079 0.712
H 0.921 0.084 0.632
Hf 0.625 0.875 0.250
H 0.579 0.712 0.663
Hf 0.000 0.500 0.500
H 0.868 0.579 0.916
H 0.584 0.632 0.421
H 0.337 0.788 0.421
Hf 0.250 0.875 0.125
H 0.084 0.921 0.132
H 0.416 0.368 0.579
H 0.837 0.921 0.288
Hf 0.750 0.625 0.375
H 0.132 0.421 0.084
H 0.548 0.212 0.132
H 0.132 0.712 0.548
Th 0.250 0.625 0.875
H 0.079 0.916 0.368
Th 0.250 0.125 0.375
H 0.163 0.084 0.952
H 0.288 0.868 0.952
H 0.368 0.416 0.079
Hf 0.250 0.375 0.625
H 0.048 0.632 0.712
H 0.712 0.132 0.048
Hf 0.125 0.750 0.375
Hf 0.375 0.250 0.125
Hf 0.500 0.000 0.500
H 0.952 0.368 0.288
H 0.288 0.421 0.837
H 0.632 0.048 0.212
H 0.079 0.163 0.212
Th 0.875 0.125 0.250
Hf 0.750 0.125 0.875
Hf 0.500 0.500 0.000
H 0.916 0.079 0.868
H 0.048 0.416 0.837
H 0.579 0.868 0.416
Hf 0.875 0.250 0.625
Hf 0.000 0.000 0.500
H 0.788 0.337 0.921
Th 0.625 0.250 0.375
Th 0.375 0.625 0.250
H 0.788 0.452 0.368
H 0.416 0.048 0.337
Hf 0.875 0.625 0.750
Th 0.125 0.250 0.875
H 0.916 0.837 0.548
Th 0.875 0.750 0.125
H 0.421 0.288 0.337
H 0.921 0.837 0.788
H 0.584 0.952 0.663
H 0.452 0.788 0.868
H 0.632 0.584 0.921
Th 0.375 0.750 0.625
Hf 0.000 0.000 0.000
Hf 0.000 0.500 0.000
Th 0.625 0.375 0.750
Th 0.125 0.875 0.750

Values from the calculation:
Its symmetry is Ia-3d (230). The value obtained for the volume is 988.68 Å³/cell. The value obtained for the magnetic moment is 0.00 μB per cell. For the total energy, the calculation gives -0.4380 Ry per atom.

***

Here is a relaxed K3PaZn2O8 crystal from Alexandria via LeMat-Bulk. Energies are from GGA-PBE.

abc: 6.028 6.028 7.868
angles: 90.00 90.00 120.00
Sites, in units of the cell vectors:
O 0.164 0.836 0.339
O 0.836 0.672 0.661
O 0.836 0.164 0.661
O 0.667 0.333 0.999
O 0.164 0.328 0.339
O 0.333 0.667 0.001
O 0.672 0.836 0.339
Zn 0.667 0.333 0.762
K 0.667 0.333 0.333
K 0.333 0.667 0.667
Pa 0.000 0.000 0.500
O 0.328 0.164 0.661
K 0.000 0.000 0.000
Zn 0.333 0.667 0.238

Values from the calculation:
For the energy relative to the elements, uncorrected, the calculation gives -1.597 eV/atom. Its symmetry is P-3m1 (164). The value obtained for the volume is 247.61 Å³/cell. The value obtained for the magnetic moment is 3.83 μB per cell. For the total energy, the calculation gives -0.4061 Ry per atom.

***

Among the records above, which one has the highest magnetic moment? K3PaZn2O8

***

Among the records above, which one has the highest total energy? Li5CuPd3

***

Copy entry 2 word for word.
Here is a relaxed Hf5Th3H12 crystal from Alexandria via LeMat-Bulk. Energies are from GGA-PBE.

abc: 10.870 10.870 10.870
angles: 109.47 109.47 109.47
Sites, in units of the cell vectors:
H 0.084 0.163 0.452
Th 0.750 0.875 0.625
H 0.712 0.579 0.163
H 0.421 0.132 0.584
H 0.212 0.548 0.632
H 0.337 0.548 0.416
H 0.212 0.663 0.079
H 0.952 0.584 0.163
H 0.837 0.916 0.048
Hf 0.500 0.500 0.500
Hf 0.125 0.375 0.250
Hf 0.625 0.750 0.875
H 0.868 0.288 0.452
H 0.548 0.337 0.916
H 0.368 0.952 0.788
Hf 0.375 0.125 0.750
Th 0.750 0.375 0.125
H 0.452 0.663 0.084
H 0.663 0.212 0.579
H 0.663 0.452 0.584
Hf 0.500 0.000 0.000
H 0.163 0.079 0.712
H 0.921 0.084 0.632
Hf 0.625 0.875 0.250
H 0.579 0.712 0.663
Hf 0.000 0.500 0.500
H 0.868 0.579 0.916
H 0.584 0.632 0.421
H 0.337 0.788 0.421
Hf 0.250 0.875 0.125
H 0.084 0.921 0.132
H 0.416 0.368 0.579
H 0.837 0.921 0.288
Hf 0.750 0.625 0.375
H 0.132 0.421 0.084
H 0.548 0.212 0.132
H 0.132 0.712 0.548
Th 0.250 0.625 0.875
H 0.079 0.916 0.368
Th 0.250 0.125 0.375
H 0.163 0.084 0.952
H 0.288 0.868 0.952
H 0.368 0.416 0.079
Hf 0.250 0.375 0.625
H 0.048 0.632 0.712
H 0.712 0.132 0.048
Hf 0.125 0.750 0.375
Hf 0.375 0.250 0.125
Hf 0.500 0.000 0.500
H 0.952 0.368 0.288
H 0.288 0.421 0.837
H 0.632 0.048 0.212
H 0.079 0.163 0.212
Th 0.875 0.125 0.250
Hf 0.750 0.125 0.875
Hf 0.500 0.500 0.000
H 0.916 0.079 0.868
H 0.048 0.416 0.837
H 0.579 0.868 0.416
Hf 0.875 0.250 0.625
Hf 0.000 0.000 0.500
H 0.788 0.337 0.921
Th 0.625 0.250 0.375
Th 0.375 0.625 0.250
H 0.788 0.452 0.368
H 0.416 0.048 0.337
Hf 0.875 0.625 0.750
Th 0.125 0.250 0.875
H 0.916 0.837 0.548
Th 0.875 0.750 0.125
H 0.421 0.288 0.337
H 0.921 0.837 0.788
H 0.584 0.952 0.663
H 0.452 0.788 0.868
H 0.632 0.584 0.921
Th 0.375 0.750 0.625
Hf 0.000 0.000 0.000
Hf 0.000 0.500 0.000
Th 0.625 0.375 0.750
Th 0.125 0.875 0.750

Values from the calculation:
Its symmetry is Ia-3d (230). The value obtained for the volume is 988.68 Å³/cell. The value obtained for the magnetic moment is 0.00 μB per cell. For the total energy, the calculation gives -0.4380 Ry per atom.